Entry 1:
The following is a meta-GGA SCAN calculation of a crystal of BeTe2 relaxed with PBEsol, from Alexandria.

Calculated values
- Relative energy among the computed polymorphs: 1179 meV/atom
- Raw formation energy: 1.212 eV/atom
- E_tot: -25.0735 eV/atom
- Volume: 28.17 Å³/atom
- DOS at the Fermi energy: 0.777 states/eV/atom
- Total magnetic moment: 0.00 μB per formula unit

a = 6.206 Å, b = 6.206 Å, c = 6.206 Å
α = 60.00°, β = 60.00°, γ = 60.00°
Element x y z (fractional)
1 Be 0.125 0.125 0.125
2 Be 0.875 0.875 0.875
3 Te 0.000 0.500 0.500
4 Te 0.500 0.000 0.500
5 Te 0.500 0.500 0.000
6 Te 0.500 0.500 0.500

---

Entry 2:
The following is a meta-GGA SCAN calculation of a crystal of MgFeReB2 relaxed with PBEsol, from Alexandria.

Calculated values
- ΔE_f: 1.450 eV per atom
- E_tot: -20.3619 eV/atom
- Volume: 12.00 Å³/atom
- DOS at the Fermi energy: 0.524 states/eV/atom
- Total magnetic moment: 2.36 μB per formula unit

a = 3.746 Å, b = 3.746 Å, c = 4.275 Å
α = 90.00°, β = 90.00°, γ = 90.00°
Element x y z (fractional)
1 Mg 0.000 0.000 0.000
2 Fe 0.000 0.000 0.500
3 Re 0.500 0.500 0.000
4 B 0.000 0.500 0.500
5 B 0.500 0.000 0.500

---

Entry 3:
The following is a meta-GGA SCAN calculation of a crystal of CaNiH3 relaxed with PBEsol, from Alexandria.

Calculated values
- E_tot: -7.7551 eV/atom
- Volume: 8.38 Å³/atom
- DOS at the Fermi energy: 0.255 states/eV/atom
- Total magnetic moment: 0.00 μB per formula unit

a = 3.473 Å, b = 3.473 Å, c = 3.473 Å
α = 90.00°, β = 90.00°, γ = 90.00°
Element x y z (fractional)
1 Ca 0.000 0.000 0.000
2 Ni 0.500 0.500 0.500
3 H 0.000 0.500 0.500
4 H 0.500 0.000 0.500
5 H 0.500 0.500 0.000

---

Entry 4:
The following is a meta-GGA SCAN calculation of a crystal of Mn2FeCu relaxed with PBEsol, from Alexandria.

Calculated values
- Relative energy among the computed polymorphs: 0 meV/atom
- ΔE_f: 0.079 eV per atom
- E_tot: -17.3804 eV/atom
- Volume: 10.88 Å³/atom
- DOS at the Fermi energy: 0.744 states/eV/atom
- Total magnetic moment: 2.55 μB per formula unit

a = 8.195 Å, b = 2.457 Å, c = 4.382 Å
α = 90.00°, β = 99.43°, γ = 90.00°
Element x y z (fractional)
1 Mn 0.000 0.000 0.000
2 Mn 0.249 0.000 0.770
3 Mn 0.500 0.500 0.000
4 Mn 0.749 0.500 0.770
5 Fe 0.242 0.500 0.267
6 Fe 0.742 0.000 0.267
7 Cu 0.494 0.000 0.501
8 Cu 0.994 0.500 0.501